1.
The following is a GGA-PBE calculation of an optimized crystal structure of PrGa2Ni3, from Alexandria.

Summary:
energy of formation from the pure elements	-509.2	meV per atom
DOS(E_F)	0.8381	states/eV per atom

a = 8.937 Å, b = 8.937 Å, c = 4.143 Å
α = 90.00°, β = 90.00°, γ = 120.00°
Atoms (fractional coordinates):
1 Pr 0.000 0.000 0.000
2 Pr 0.333 0.667 0.500
3 Pr 0.667 0.333 0.500
4 Ga 0.000 0.274 0.500
5 Ga 0.000 0.528 0.000
6 Ga 0.274 0.000 0.500
7 Ga 0.472 0.472 0.000
8 Ga 0.528 0.000 0.000
9 Ga 0.726 0.726 0.500
10 Ni 0.000 0.713 0.500
11 Ni 0.168 0.375 0.000
12 Ni 0.206 0.832 0.000
13 Ni 0.287 0.287 0.500
14 Ni 0.375 0.168 0.000
15 Ni 0.625 0.794 0.000
16 Ni 0.713 0.000 0.500
17 Ni 0.794 0.625 0.000
18 Ni 0.832 0.206 0.000

2.
The following is a GGA-PBE calculation of an optimized crystal structure of Ac2ScRe2N6, from Alexandria.

Summary:
DOS(E_F)	0.2386	states/eV per atom
uncorrected formation energy	-0.75	eV/atom

a = 6.892 Å, b = 6.892 Å, c = 6.892 Å
α = 50.21°, β = 50.21°, γ = 50.21°
Atoms (fractional coordinates):
1 Ac 0.211 0.211 0.211
2 Ac 0.789 0.789 0.789
3 Sc 0.000 0.000 0.000
4 Re 0.397 0.397 0.397
5 Re 0.603 0.603 0.603
6 N 0.231 0.750 0.750
7 N 0.250 0.250 0.769
8 N 0.250 0.769 0.250
9 N 0.750 0.231 0.750
10 N 0.750 0.750 0.231
11 N 0.769 0.250 0.250

3.
The following is a GGA-PBE calculation of an optimized crystal structure of KRb2Ta2O7, from Alexandria.

Summary:
DOS(E_F)	0.4514	states/eV per atom
uncorrected formation energy	-2.35	eV/atom

a = 11.816 Å, b = 11.816 Å, c = 11.816 Å
α = 160.26°, β = 160.26°, γ = 28.06°
Atoms (fractional coordinates):
1 K 0.000 0.000 0.000
2 Rb 0.192 0.192 0.000
3 Rb 0.808 0.808 0.000
4 Ta 0.408 0.408 0.000
5 Ta 0.592 0.592 0.000
6 O 0.088 0.588 0.500
7 O 0.326 0.326 0.000
8 O 0.412 0.912 0.500
9 O 0.500 0.500 0.000
10 O 0.588 0.088 0.500
11 O 0.674 0.674 0.000
12 O 0.912 0.412 0.500

4.
The following is a GGA-PBE calculation of an optimized crystal structure of SmZnCd2, from Alexandria.

Summary:
energy of formation from the pure elements	-296.8	meV per atom
DOS(E_F)	0.4815	states/eV per atom

a = 8.632 Å, b = 8.632 Å, c = 8.632 Å
α = 147.82°, β = 147.82°, γ = 46.15°
Atoms (fractional coordinates):
1 Sm 0.142 0.142 0.000
2 Sm 0.858 0.858 0.000
3 Zn 0.250 0.750 0.500
4 Zn 0.750 0.250 0.500
5 Cd 0.000 0.500 0.500
6 Cd 0.361 0.361 0.000
7 Cd 0.500 0.000 0.500
8 Cd 0.639 0.639 0.000

5.
The following is a GGA-PBE calculation of an optimized crystal structure of NaTlSn2, from Alexandria.

Summary:
energy of formation from the pure elements	-21.6	meV per atom
DOS(E_F)	0.3484	states/eV per atom

a = 5.845 Å, b = 5.845 Å, c = 8.523 Å
α = 90.00°, β = 90.00°, γ = 122.37°
Atoms (fractional coordinates):
1 Na 0.075 0.925 0.750
2 Na 0.925 0.075 0.250
3 Tl 0.430 0.570 0.750
4 Tl 0.570 0.430 0.250
5 Sn 0.248 0.752 0.076
6 Sn 0.248 0.752 0.424
7 Sn 0.752 0.248 0.576
8 Sn 0.752 0.248 0.924

6.
The following is a GGA-PBE calculation of an optimized crystal structure of Pr2TlCl, from Alexandria.

Summary:
DOS(E_F)	0.6449	states/eV per atom
uncorrected formation energy	-0.86	eV/atom

a = 9.592 Å, b = 9.592 Å, c = 9.592 Å
α = 22.72°, β = 22.72°, γ = 22.72°
Atoms (fractional coordinates):
1 Pr 0.000 0.000 0.000
2 Pr 0.155 0.155 0.155
3 Tl 0.578 0.578 0.578
4 Cl 0.744 0.744 0.744

7.
The following is a GGA-PBE calculation of an optimized crystal structure of Sm4SnS2N, from Alexandria.

Summary:
DOS(E_F)	0.5462	states/eV per atom
uncorrected formation energy	-1.35	eV/atom

a = 6.519 Å, b = 6.519 Å, c = 6.519 Å
α = 112.21°, β = 112.21°, γ = 104.12°
Atoms (fractional coordinates):
1 Sm 0.020 0.650 0.000
2 Sm 0.350 0.350 0.370
3 Sm 0.650 0.020 0.000
4 Sm 0.980 0.980 0.630
5 Sn 0.500 0.500 0.000
6 S 0.250 0.750 0.500
7 S 0.750 0.250 0.500
8 N 0.000 0.000 0.000

8.
The following is a GGA-PBE calculation of an optimized crystal structure of DyAlZn5, from Alexandria.

Summary:
energy of formation from the pure elements	-230.5	meV per atom
DOS(E_F)	0.2604	states/eV per atom

a = 8.659 Å, b = 5.144 Å, c = 10.585 Å
α = 90.00°, β = 90.00°, γ = 90.00°
Atoms (fractional coordinates):
1 Dy 0.240 0.250 0.062
2 Dy 0.260 0.750 0.562
3 Dy 0.740 0.250 0.438
4 Dy 0.760 0.750 0.938
5 Al 0.142 0.750 0.855
6 Al 0.358 0.250 0.355
7 Al 0.642 0.750 0.645
8 Al 0.858 0.250 0.145
9 Zn 0.047 0.750 0.090
10 Zn 0.064 0.009 0.307
11 Zn 0.064 0.491 0.307
12 Zn 0.084 0.250 0.520
13 Zn 0.198 0.250 0.750
14 Zn 0.302 0.750 0.250
15 Zn 0.416 0.750 0.020
16 Zn 0.436 0.509 0.807
17 Zn 0.436 0.991 0.807
18 Zn 0.453 0.250 0.590
19 Zn 0.547 0.750 0.410
20 Zn 0.564 0.009 0.193
21 Zn 0.564 0.491 0.193
22 Zn 0.584 0.250 0.980
23 Zn 0.698 0.250 0.750
24 Zn 0.802 0.750 0.250
25 Zn 0.916 0.750 0.480
26 Zn 0.936 0.509 0.693
27 Zn 0.936 0.991 0.693
28 Zn 0.953 0.250 0.910

9.
The following is a GGA-PBE calculation of an optimized crystal structure of SrTaOs3, from Alexandria.

Summary:
energy of formation from the pure elements	1438.4	meV per atom
DOS(E_F)	2.0869	states/eV per atom

a = 4.859 Å, b = 4.859 Å, c = 4.859 Å
α = 90.00°, β = 90.00°, γ = 90.00°
Atoms (fractional coordinates):
1 Sr 0.000 0.000 0.000
2 Ta 0.500 0.500 0.500
3 Os 0.000 0.500 0.500
4 Os 0.500 0.000 0.500
5 Os 0.500 0.500 0.000

10.
The following is a GGA-PBE calculation of an optimized crystal structure of CeZn3Co, from Alexandria.

Summary:
energy of formation from the pure elements	-61.5	meV per atom
DOS(E_F)	1.9751	states/eV per atom

a = 4.582 Å, b = 4.582 Å, c = 4.582 Å
α = 90.00°, β = 90.00°, γ = 90.00°
Atoms (fractional coordinates):
1 Ce 0.000 0.000 0.000
2 Zn 0.000 0.500 0.500
3 Zn 0.500 0.000 0.500
4 Zn 0.500 0.500 0.000
5 Co 0.500 0.500 0.500

11.
The following is a GGA-PBE calculation of an optimized crystal structure of TaSiRhN2, from Alexandria.

Summary:
DOS(E_F)	0.3912	states/eV per atom
uncorrected formation energy	0.71	eV/atom

a = 3.619 Å, b = 3.619 Å, c = 4.797 Å
α = 90.00°, β = 90.00°, γ = 90.00°
Atoms (fractional coordinates):
1 Ta 0.000 0.000 0.000
2 Si 0.500 0.500 0.500
3 Rh 0.500 0.500 0.000
4 N 0.000 0.500 0.500
5 N 0.500 0.000 0.500

12.
The following is a GGA-PBE calculation of an optimized crystal structure of CeI2Cl2, from Alexandria.

Summary:
DOS(E_F)	0.4937	states/eV per atom
uncorrected formation energy	-1.46	eV/atom

a = 16.290 Å, b = 16.290 Å, c = 16.290 Å
α = 162.84°, β = 162.84°, γ = 24.36°
Atoms (fractional coordinates):
1 Ce 0.375 0.625 0.750
2 Ce 0.625 0.375 0.250
3 I 0.055 0.305 0.750
4 I 0.305 0.055 0.250
5 I 0.695 0.945 0.750
6 I 0.945 0.695 0.250
7 Cl 0.165 0.415 0.750
8 Cl 0.415 0.165 0.250
9 Cl 0.585 0.835 0.750
10 Cl 0.835 0.585 0.250

13.
The following is a GGA-PBE calculation of an optimized crystal structure of PmHoSeO2, from Alexandria.

Summary:
DOS(E_F)	0.0000	states/eV per atom
uncorrected formation energy	-3.08	eV/atom

a = 6.582 Å, b = 4.064 Å, c = 7.700 Å
α = 90.00°, β = 107.90°, γ = 90.00°
Atoms (fractional coordinates):
1 Pm 0.188 0.250 0.427
2 Pm 0.812 0.750 0.573
3 Ho 0.172 0.250 0.919
4 Ho 0.828 0.750 0.081
5 Se 0.453 0.750 0.746
6 Se 0.547 0.250 0.254
7 O 0.015 0.750 0.886
8 O 0.017 0.750 0.372
9 O 0.983 0.250 0.628
10 O 0.985 0.250 0.114

14.
The following is a GGA-PBE calculation of an optimized crystal structure of RbTl7F12, from Alexandria.

Summary:
DOS(E_F)	0.3767	states/eV per atom
uncorrected formation energy	-1.86	eV/atom

a = 8.124 Å, b = 8.124 Å, c = 8.124 Å
α = 109.47°, β = 109.47°, γ = 109.47°
Atoms (fractional coordinates):
1 Rb 0.000 0.000 0.000
2 Tl 0.000 0.000 0.500
3 Tl 0.000 0.500 0.000
4 Tl 0.000 0.500 0.500
5 Tl 0.500 0.000 0.000
6 Tl 0.500 0.000 0.500
7 Tl 0.500 0.500 0.000
8 Tl 0.500 0.500 0.500
9 F 0.071 0.791 0.280
10 F 0.209 0.280 0.490
11 F 0.209 0.720 0.929
12 F 0.280 0.071 0.791
13 F 0.280 0.490 0.209
14 F 0.490 0.209 0.280
15 F 0.510 0.791 0.720
16 F 0.720 0.510 0.791
17 F 0.720 0.929 0.209
18 F 0.791 0.280 0.071
19 F 0.791 0.720 0.510
20 F 0.929 0.209 0.720

Volume: 15.92; 16.18; 15.68; 22.73; 30.75; 28.88; 26.48; 16.84; 22.94; 19.24; 12.57; 37.63; 19.60; 20.64 (Å³/atom)